Mg2InSb | GGA-PBE | optimized geometry

Calculated values
Energy relative to the elements, uncorrected = -33 meV per atom
Polymorph energy (0 for the lowest one) = 0.476 eV per formula unit

Lattice parameters (Å, degrees): 3.306 3.306 9.133 90.00 90.00 90.00
Positions (direct):
Mg 0.000 0.000 0.000
Mg 0.500 0.500 0.236
In 0.500 0.500 0.761
Sb 0.000 0.000 0.469

---

NbAl4Ga | GGA-PBE | optimized geometry

Calculated values
DFT formation energy = -0.180 eV/atom
Polymorph energy (0 for the lowest one) = 0.000 eV per formula unit

Lattice parameters (Å, degrees): 5.200 5.200 9.436 106.92 106.92 55.53
Positions (direct):
Nb 0.250 0.750 0.750
Nb 0.750 0.250 0.250
Al 0.055 0.556 0.226
Al 0.196 0.696 0.028
Al 0.304 0.804 0.472
Al 0.444 0.945 0.274
Al 0.556 0.055 0.726
Al 0.696 0.196 0.528
Al 0.804 0.304 0.972
Al 0.945 0.444 0.774
Ga 0.000 0.500 0.500
Ga 0.500 0.000 0.000

---

K5HgS3 | GGA-PBE | optimized geometry

Calculated values
Energy relative to the elements, uncorrected = -894 meV per atom

Lattice parameters (Å, degrees): 9.420 9.420 10.064 105.52 105.52 47.03
Positions (direct):
K 0.083 0.582 0.410
K 0.086 0.582 0.923
K 0.138 0.862 0.750
K 0.418 0.914 0.577
K 0.418 0.917 0.090
K 0.582 0.083 0.910
K 0.582 0.086 0.423
K 0.862 0.138 0.250
K 0.914 0.418 0.077
K 0.917 0.418 0.590
Hg 0.385 0.615 0.250
Hg 0.615 0.385 0.750
S 0.173 0.178 0.338
S 0.178 0.173 0.838
S 0.500 0.500 0.000
S 0.500 0.500 0.500
S 0.822 0.827 0.162
S 0.827 0.822 0.662

---

Cs2SrCdBi2 | GGA-PBE | optimized geometry

Calculated values
DFT formation energy = -0.526 eV/atom

Lattice parameters (Å, degrees): 10.571 10.571 10.571 137.17 62.95 136.18
Positions (direct):
Cs 0.176 0.232 0.407
Cs 0.324 0.732 0.056
Cs 0.676 0.268 0.944
Cs 0.824 0.768 0.593
Sr 0.250 0.750 0.500
Sr 0.750 0.250 0.500
Cd 0.250 0.250 0.000
Cd 0.750 0.750 0.000
Bi 0.095 0.775 0.870
Bi 0.405 0.275 0.679
Bi 0.595 0.725 0.321
Bi 0.905 0.225 0.130

---

ZrPbAu | GGA-PBE | optimized geometry

Calculated values
DFT formation energy = -0.186 eV/atom

Lattice parameters (Å, degrees): 4.709 4.709 3.539 90.00 90.00 120.00
Positions (direct):
Zr 0.000 0.000 0.000
Pb 0.333 0.667 0.573
Au 0.667 0.333 0.284

---

BaNaN2 | GGA-PBE | optimized geometry

Calculated values
Energy relative to the elements, uncorrected = 1318 meV per atom
Polymorph energy (0 for the lowest one) = 2.616 eV per formula unit

Lattice parameters (Å, degrees): 7.200 7.200 7.200 33.31 33.31 33.31
Positions (direct):
Ba 0.000 0.000 0.000
Na 0.500 0.500 0.500
N 0.104 0.104 0.104
N 0.896 0.896 0.896